(one)
Crystalline Ag2Pb2Cl at its relaxed geometry, computed with GGA-PBE.

It has space group I4/mmm (No. 139), with a = 5.440 Å, b = 5.440 Å, c = 9.549 Å, α = 90.00°, β = 90.00° and γ = 90.00°. The inequivalent atoms are Ag at (0.000, 0.000, 0.142), Pb at (0.000, 0.500, 0.250) and Cl at (0.000, 0.000, 0.500).

---

(two)
Crystalline Ag2Pb2Cl at its relaxed geometry, computed with GGA-PBE.

It has space group P4/mbm (No. 127), with a = 8.440 Å, b = 8.440 Å, c = 3.621 Å, α = 90.00°, β = 90.00° and γ = 90.00°. The inequivalent atoms are Ag at (0.116, 0.384, 0.000), Pb at (0.184, 0.684, 0.500) and Cl at (0.000, 0.000, 0.500).

---

So which one wins? Going from most stable to least: (two), (one).

---

(one)
Crystalline Ag2PbCl at its relaxed geometry, computed with GGA-PBE.

It has space group Fm-3m (No. 225), with a = 7.210 Å, b = 7.210 Å, c = 7.210 Å, α = 90.00°, β = 90.00° and γ = 90.00°. The inequivalent atoms are Ag at (0.250, 0.250, 0.250), Pb at (0.000, 0.000, 0.000) and Cl at (0.000, 0.000, 0.500).

---

(two)
Crystalline Ag2PbCl at its relaxed geometry, computed with GGA-PBE.

It has space group I-4m2 (No. 119), with a = 4.244 Å, b = 4.244 Å, c = 10.217 Å, α = 90.00°, β = 90.00° and γ = 90.00°. The inequivalent atoms are Ag at (0.000, 0.000, 0.000), Ag at (0.000, 0.500, 0.250), Pb at (0.000, 0.000, 0.500) and Cl at (0.000, 0.500, 0.750).

---

(three)
Crystalline Ag2PbCl at its relaxed geometry, computed with GGA-PBE.

It has space group Cm (No. 8), with a = 10.854 Å, b = 3.320 Å, c = 5.386 Å, α = 90.00°, β = 105.81° and γ = 90.00°. The inequivalent atoms are Ag at (0.000, 0.000, 0.000), Ag at (0.226, 0.500, 0.041), Pb at (0.006, 0.500, 0.486) and Cl at (0.258, 0.000, 0.567).

---

(four)
Crystalline Ag2PbCl at its relaxed geometry, computed with GGA-PBE.

It has space group R-3m (No. 166, hexagonal axes), with a = 3.6038 Å, b = 3.6038 Å, c = 24.5186 Å, α = 90.00°, β = 90.00° and γ = 120.00°. The inequivalent atoms are Ag at (0.0000, 0.0000, 0.2447), Pb at (0.0000, 0.0000, 0.0000) and Cl at (0.0000, 0.0000, 0.5000).

---

So which one wins? Going from most stable to least: (four), (three), (two), (one).

---

(one)
Crystalline Ag2PbCl at its relaxed geometry, computed with GGA-PBE.

It has space group Pmmm (No. 47), with a = 3.547 Å, b = 4.312 Å, c = 6.140 Å, α = 90.00°, β = 90.00° and γ = 90.00°. The inequivalent atoms are Ag at (0.000, 0.000, 0.237), Pb at (0.500, 0.500, 0.000) and Cl at (0.500, 0.500, 0.500).

---

(two)
Crystalline Ag2PbCl at its relaxed geometry, computed with GGA-PBE.

It has space group Pm (No. 6), with a = 3.488 Å, b = 3.622 Å, c = 7.650 Å, α = 90.00°, β = 103.05° and γ = 90.00°. The inequivalent atoms are Ag at (0.000, 0.000, 0.000), Ag at (0.408, 0.500, 0.813), Pb at (0.785, 0.000, 0.564) and Cl at (0.133, 0.500, 0.260).

---

(three)
Crystalline Ag2PbCl at its relaxed geometry, computed with GGA-PBE.

It has space group R3m (No. 160, hexagonal axes), with a = 3.5137 Å, b = 3.5137 Å, c = 26.0248 Å, α = 90.00°, β = 90.00° and γ = 120.00°. The inequivalent atoms are Ag at (0.0000, 0.0000, 0.0000), Ag at (0.0000, 0.0000, 0.2582), Pb at (0.0000, 0.0000, 0.5016) and Cl at (0.0000, 0.0000, 0.7369).

---

So which one wins? Going from most stable to least: (two), (three), (one).

---

(one)
Crystalline Ag2PbCl at its relaxed geometry, computed with GGA-PBE.

It has space group P4mm (No. 99), with a = 3.493 Å, b = 3.493 Å, c = 7.453 Å, α = 90.00°, β = 90.00° and γ = 90.00°. The inequivalent atoms are Ag at (0.000, 0.000, 0.000), Ag at (0.500, 0.500, 0.199), Pb at (0.500, 0.500, 0.747) and Cl at (0.000, 0.000, 0.410).

---

(two)
Crystalline Ag2PbCl at its relaxed geometry, computed with GGA-PBE.

It has space group Imm2 (No. 44), with a = 3.458 Å, b = 5.029 Å, c = 10.579 Å, α = 90.00°, β = 90.00° and γ = 90.00°. The inequivalent atoms are Ag at (0.000, 0.000, 0.000), Ag at (0.000, 0.500, 0.287), Pb at (0.000, 0.000, 0.498) and Cl at (0.000, 0.500, 0.732).

---

(three)
Crystalline Ag2PbCl at its relaxed geometry, computed with GGA-PBE.

It has space group Pmmm (No. 47), with a = 3.329 Å, b = 5.012 Å, c = 5.509 Å, α = 90.00°, β = 90.00° and γ = 90.00°. The inequivalent atoms are Ag at (0.000, 0.000, 0.000), Ag at (0.500, 0.500, 0.000), Pb at (0.000, 0.500, 0.500) and Cl at (0.500, 0.000, 0.500).

---

So which one wins? Going from most stable to least: (one), (three), (two).

---

(one)
Crystalline Ag2PbCl at its relaxed geometry, computed with GGA-PBE.

It has space group I4/mmm (No. 139), with a = 4.155 Å, b = 4.155 Å, c = 10.989 Å, α = 90.00°, β = 90.00° and γ = 90.00°. The inequivalent atoms are Ag at (0.000, 0.500, 0.250), Pb at (0.000, 0.000, 0.000) and Cl at (0.000, 0.000, 0.500).

---

(two)
Crystalline Ag2PbCl at its relaxed geometry, computed with GGA-PBE.

It has space group Cmmm (No. 65), with a = 5.816 Å, b = 8.769 Å, c = 3.684 Å, α = 90.00°, β = 90.00° and γ = 90.00°. The inequivalent atoms are Ag at (0.250, 0.250, 0.000), Pb at (0.000, 0.000, 0.500) and Cl at (0.000, 0.500, 0.500).

---

(three)
Crystalline Ag2PbCl at its relaxed geometry, computed with GGA-PBE.

It has space group P4/mmm (No. 123), with a = 4.173 Å, b = 4.173 Å, c = 5.456 Å, α = 90.00°, β = 90.00° and γ = 90.00°. The inequivalent atoms are Ag at (0.000, 0.500, 0.000), Pb at (0.000, 0.000, 0.500) and Cl at (0.500, 0.500, 0.500).

---

(four)
Crystalline Ag2PbCl at its relaxed geometry, computed with GGA-PBE.

It has space group I-42d (No. 122), with a = 7.984 Å, b = 7.984 Å, c = 5.979 Å, α = 90.00°, β = 90.00° and γ = 90.00°. The inequivalent atoms are Ag at (0.237, 0.250, 0.125), Pb at (0.000, 0.000, 0.500) and Cl at (0.000, 0.000, 0.000).

---

So which one wins? Going from most stable to least: (four), (one), (two), (three).

---

(one)
Crystalline AgPb2Cl2 at its relaxed geometry, computed with GGA-PBE.

It has space group P4/mbm (No. 127), with a = 7.960 Å, b = 7.960 Å, c = 4.759 Å, α = 90.00°, β = 90.00° and γ = 90.00°. The inequivalent atoms are Ag at (0.000, 0.000, 0.000), Pb at (0.200, 0.300, 0.000) and Cl at (0.159, 0.659, 0.500).

---

(two)
Crystalline AgPb2Cl2 at its relaxed geometry, computed with GGA-PBE.

It has space group I4/mmm (No. 139), with a = 4.545 Å, b = 4.545 Å, c = 14.002 Å, α = 90.00°, β = 90.00° and γ = 90.00°. The inequivalent atoms are Ag at (0.000, 0.000, 0.000), Pb at (0.000, 0.000, 0.386) and Cl at (0.000, 0.500, 0.250).

---

So which one wins? Going from most stable to least: (one), (two).